Entry 1:
The following is a DFT calculation (GGA-PBE) of a relaxed In12HgPb7 crystal.

Its energy of formation from the pure elements is 0.0434 eV/atom.

Cell lengths 8.4956, 8.4956, 8.4956 Å; angles 100.88, 100.88, 100.88 degrees
Last column: nearest neighbours and their distance in Å.
Fractional coordinates of all 20 atoms:
In 0.8325 0.3945 0.3945  5 In 3.08-3.44, 1 Pb 3.35
In 0.6055 0.6055 0.1675  5 In 3.08-3.44, 1 Pb 3.35
In 0.0000 0.7398 0.2602  6 In 3.22-3.50, 4 Pb 3.32-3.37, 1 Hg 3.41
In 0.7398 0.0000 0.2602  6 In 3.22-3.50, 4 Pb 3.32-3.37, 1 Hg 3.41
In 0.0000 0.2602 0.7398  6 In 3.22-3.50, 4 Pb 3.32-3.37, 1 Hg 3.41
In 0.2602 0.0000 0.7398  6 In 3.22-3.50, 4 Pb 3.32-3.37, 1 Hg 3.41
In 0.2602 0.7398 0.0000  6 In 3.22-3.50, 4 Pb 3.32-3.37, 1 Hg 3.41
In 0.3945 0.8325 0.3945  5 In 3.08-3.44, 1 Pb 3.35
In 0.6055 0.1675 0.6055  5 In 3.08-3.44, 1 Pb 3.35
In 0.1675 0.6055 0.6055  5 In 3.08-3.44, 1 Pb 3.35
In 0.7398 0.2602 0.0000  6 In 3.22-3.50, 4 Pb 3.32-3.37, 1 Hg 3.41
In 0.3945 0.3945 0.8325  5 In 3.08-3.44, 1 Pb 3.35
Hg 0.0000 0.0000 0.0000  6 Pb 3.39, 6 In 3.41
Pb 0.1481 0.1481 0.4114  6 In 3.32-3.70, 1 Hg 3.39, 3 Pb 3.45-3.66
Pb 0.4114 0.1481 0.1481  6 In 3.32-3.70, 1 Hg 3.39, 3 Pb 3.45-3.66
Pb 0.5000 0.5000 0.5000  6 In 3.35, 6 Pb 3.66
Pb 0.5886 0.8519 0.8519  6 In 3.32-3.70, 1 Hg 3.39, 3 Pb 3.45-3.66
Pb 0.1481 0.4114 0.1481  6 In 3.32-3.70, 1 Hg 3.39, 3 Pb 3.45-3.66
Pb 0.8519 0.5886 0.8519  6 In 3.32-3.70, 1 Hg 3.39, 3 Pb 3.45-3.66
Pb 0.8519 0.8519 0.5886  6 In 3.32-3.70, 1 Hg 3.39, 3 Pb 3.45-3.66

Entry 2:
The following is a DFT calculation (GGA-PBE) of a relaxed PaGaCo2 crystal.

Its energy of formation from the pure elements is -0.2250 eV/atom.

Cell lengths 3.2353, 4.3735, 4.3735 Å; angles 90.00, 90.00, 90.00 degrees
Last column: nearest neighbours and their distance in Å.
Fractional coordinates of all 4 atoms:
Pa 0.5000 0.5000 0.5000  8 Co 2.72
Ga 0.5000 0.0000 0.0000  8 Co 2.72
Co 0.0000 0.5000 0.0000  4 Pa 2.72, 4 Ga 2.72
Co 0.0000 0.0000 0.5000  4 Ga 2.72, 4 Pa 2.72

Entry 3:
The following is a DFT calculation (GGA-PBE) of a relaxed YIrPt2 crystal.

Its energy of formation from the pure elements is -0.5826 eV/atom.

Cell lengths 5.0783, 5.0783, 5.0783 Å; angles 132.37, 132.44, 69.60 degrees
Last column: nearest neighbours and their distance in Å.
Fractional coordinates of all 4 atoms:
Pt 0.9998 0.9998 0.0000  4 Pt 2.90, 4 Ir 2.92-2.93, 4 Y 2.92
Pt 0.5002 0.5002 0.0000  4 Pt 2.90, 4 Ir 2.92-2.93, 4 Y 2.92
Y 0.7500 0.2500 0.5000  4 Ir 2.90, 8 Pt 2.92
Ir 0.2500 0.7500 0.5000  4 Y 2.90, 8 Pt 2.92-2.93

Entry 4:
The following is a DFT calculation (GGA-PBE) of a relaxed Y2CrPt crystal.

The offset from the most stable computed form comes out at 0.3804 eV per atom. Its energy of formation from the pure elements is -0.0333 eV/atom.

Cell lengths 7.8906, 7.8906, 6.3945 Å; angles 51.90, 51.90, 90.00 degrees
Last column: nearest neighbours and their distance in Å.
Fractional coordinates of all 8 atoms:
Cr 0.2500 0.7500 0.5000  4 Y 3.07, 2 Pt 3.12
Cr 0.5000 0.5000 0.0000  4 Y 3.07, 2 Pt 3.12
Y 0.8750 0.9061 0.7500  2 Pt 2.74
Y 0.0939 0.6250 0.2500  2 Pt 2.74
Y 0.6561 0.1250 0.2500  2 Pt 2.74
Y 0.3750 0.3439 0.7500  2 Pt 2.74
Pt 0.7500 0.2500 0.5000  4 Y 2.74
Pt 0.0000 0.0000 0.0000  4 Y 2.74

Entry 5:
The following is a DFT calculation (GGA-PBE) of a relaxed La3Pm5Ho4 crystal.

The offset from the most stable computed form comes out at 0.2032 eV per atom. Its energy of formation from the pure elements is 0.2248 eV/atom.

Cell lengths 6.0246, 8.7219, 9.7575 Å; angles 106.07, 72.02, 69.80 degrees
Last column: nearest neighbours and their distance in Å.
Fractional coordinates of all 12 atoms:
Ho 0.1602 0.0480 0.6317  3 La 3.30-3.57, 1 Ho 3.63, 2 Pm 3.63
Ho 0.1426 0.7781 0.9367  2 Ho 3.30-3.63, 4 Pm 3.49-3.70, 1 La 3.49
Ho 0.8574 0.2219 0.0633  2 Ho 3.30-3.63, 4 Pm 3.49-3.70, 1 La 3.49
Ho 0.8398 0.9520 0.3683  3 La 3.30-3.57, 1 Ho 3.63, 2 Pm 3.63
Pm 0.3765 0.0475 0.1994  2 La 3.31-3.55, 1 Pm 3.44, 2 Ho 3.63
Pm 0.2209 0.4523 0.1058  4 La 3.27-3.58, 3 Ho 3.49-3.63
Pm 0.6235 0.9525 0.8006  2 La 3.31-3.55, 1 Pm 3.44, 2 Ho 3.63
Pm 0.5000 0.5000 0.5000  4 La 3.01-3.05
Pm 0.7791 0.5477 0.8942  4 La 3.27-3.58, 3 Ho 3.49-3.63
La 0.5133 0.6921 0.2813  3 Pm 3.05-3.31, 1 Ho 3.30
La 0.0000 0.5000 0.5000  2 Pm 3.01
La 0.4867 0.3079 0.7187  3 Pm 3.05-3.31, 1 Ho 3.30

Entry 6:
The following is a DFT calculation (GGA-PBE) of a relaxed AgHgRu4 crystal.

Its energy of formation from the pure elements is 0.6979 eV/atom.

Cell lengths 5.1993, 5.1993, 5.1993 Å; angles 60.00, 60.00, 60.00 degrees
Last column: nearest neighbours and their distance in Å.
Fractional coordinates of all 6 atoms:
Ru 0.8745 0.3752 0.3752  6 Ru 2.60
Ru 0.3752 0.3752 0.3752  6 Ru 2.60
Ru 0.3752 0.3752 0.8745  6 Ru 2.60
Ru 0.3752 0.8745 0.3752  6 Ru 2.60
Hg 0.0000 0.0000 0.0000  12 Ru 3.05, 4 Ag 3.18
Ag 0.7500 0.7500 0.7500  12 Ru 3.05, 4 Hg 3.18

Entry 7:
The following is a DFT calculation (GGA-PBE) of a relaxed ZnSi2S2 crystal.

The offset from the most stable computed form comes out at 0.0000 eV per atom. The energy relative to the elements, uncorrected comes out at 0.11 eV/atom.

Cell lengths 4.9311, 4.9311, 5.0536 Å; angles 60.80, 60.80, 90.00 degrees
Last column: nearest neighbours and their distance in Å.
Fractional coordinates of all 5 atoms:
Si 0.6740 0.6740 0.6520  1 Zn 2.39, 4 S 2.53, 1 Si 2.55
Si 0.3260 0.3260 0.3480  1 Zn 2.39, 4 S 2.53, 1 Si 2.55
S 0.2500 0.7500 0.5000  4 Si 2.53
S 0.7500 0.2500 0.5000  4 Si 2.53
Zn 0.0000 0.0000 0.0000  2 Si 2.39

Entry 8:
The following is a DFT calculation (GGA-PBE) of a relaxed Ce2Nd2Ge4Rh crystal.

Its energy of formation from the pure elements is -0.5581 eV/atom.

Cell lengths 6.5555, 6.5555, 6.5555 Å; angles 104.11, 112.21, 112.21 degrees
Last column: nearest neighbours and their distance in Å.
Fractional coordinates of all 9 atoms:
Ge 0.0000 0.2421 0.7579  1 Rh 2.50
Ge 0.0000 0.7579 0.2421  1 Rh 2.50
Ge 0.5158 0.7579 0.7579  1 Rh 2.50
Ge 0.4842 0.2421 0.2421  1 Rh 2.50
Ce 0.0000 0.3268 0.3268  1 Rh 2.63, 1 Ce 2.79
Ce 0.0000 0.6732 0.6732  1 Rh 2.63, 1 Ce 2.79
Nd 0.5000 0.2500 0.7500  8 Ge 3.28
Nd 0.5000 0.7500 0.2500  8 Ge 3.28
Rh 0.0000 0.0000 0.0000  4 Ge 2.50, 2 Ce 2.63

no.,M_tot (μB per atom)
1,0.000
2,0.000
3,0.001
4,0.857
5,0.020
6,0.528
7,0.000
8,0.170